Entry from Alexandria via LeMat-Bulk: a relaxed structure of MnSnBrO2 (GGA+U).

```
data_MnSnBrO2
_cell_length_a 5.6912
_cell_length_b 12.2317
_cell_length_c 5.5777
_cell_angle_alpha 90.00
_cell_angle_beta 90.00
_cell_angle_gamma 90.00
_symmetry_space_group_name_H-M 'C m c m'
_symmetry_Int_Tables_number 63
_symmetry_space_group_name_Hall '-C 2c 2'
loop_
_atom_site_label
_atom_site_fract_x
_atom_site_fract_y
_atom_site_fract_z
Mn1 0.0000 0.0116 0.2500
Sn1 0.0000 0.3879 0.2500
Br1 0.0000 0.2385 0.7500
O1 0.2352 0.0000 0.0000
```

Output
crystal system	orthorhombic
total energy	-116.34	eV/cell
volume	388	Å³/cell
total magnetic moment	4.0	μB per formula unit

---

Entry from Alexandria via LeMat-Bulk: a relaxed structure of Mn2SnBr2O2 (GGA+U).

```
data_Mn2SnBr2O2
_cell_length_a 12.9504
_cell_length_b 3.6749
_cell_length_c 6.3464
_cell_angle_alpha 90.00
_cell_angle_beta 101.98
_cell_angle_gamma 90.00
_symmetry_space_group_name_H-M 'C 1 2/m 1'
_symmetry_Int_Tables_number 12
loop_
_symmetry_equiv_pos_as_xyz
'x,y,z'
'-x,-y,-z'
'-x,y,-z'
'x,-y,z'
'x+1/2,y+1/2,z'
'-x+1/2,-y+1/2,-z'
'-x+1/2,y+1/2,-z'
'x+1/2,-y+1/2,z'
loop_
_atom_site_label
_atom_site_fract_x
_atom_site_fract_y
_atom_site_fract_z
Mn1 0.2152 0.0000 0.3042
Sn1 0.0000 0.5000 0.5000
Br1 0.1254 0.0000 0.8685
O1 0.1630 0.5000 0.4045
```

Output
crystal system	monoclinic
total energy	-80.11	eV/cell
volume	295	Å³/cell
total magnetic moment	10.0	μB per formula unit

---

Entry from Alexandria via LeMat-Bulk: a relaxed structure of SrMnBrO2 (GGA+U).

```
data_SrMnBrO2
_cell_length_a 5.8091
_cell_length_b 12.6775
_cell_length_c 5.5673
_cell_angle_alpha 90.00
_cell_angle_beta 90.00
_cell_angle_gamma 90.00
_symmetry_space_group_name_H-M 'C m c m'
_symmetry_Int_Tables_number 63
_symmetry_space_group_name_Hall '-C 2c 2'
loop_
_atom_site_label
_atom_site_fract_x
_atom_site_fract_y
_atom_site_fract_z
Sr1 0.0000 0.1130 0.2500
Mn1 0.0000 0.4909 0.2500
Br1 0.0000 0.2578 0.7500
O1 0.2262 0.5000 0.0000
```

Output
crystal system	orthorhombic
total energy	-124.35	eV/cell
volume	410	Å³/cell
total magnetic moment	4.0	μB per formula unit